w.
The following is a GGA-PBE calculation of crystalline TaCrAg3 at its relaxed geometry, from Alexandria via LeMat-Bulk.

a b c (Å): 5.0438 5.0438 5.0438
angles (deg): 90.00 90.00 90.00
With the nearest neighbours (Å) after each atom.
Space group Pm-3m (No. 221)
Inequivalent atoms, fractional coordinates:
Ta  0.0000  0.0000  0.0000 x1  6 Ag 2.52
Cr  0.5000  0.5000  0.5000 x1  12 Ag 3.57
Ag  0.0000  0.0000  0.5000 x3  2 Ta 2.52

Output
Its magnetic moment is 0.29 μB per formula unit.

=====

x.
The following is a GGA-PBE calculation of crystalline TaCrAg3 at its relaxed geometry, from Alexandria via LeMat-Bulk.

a b c (Å): 4.6815 4.6815 4.6815
angles (deg): 90.00 90.00 90.00
With the nearest neighbours (Å) after each atom.
Space group Pm-3m (No. 221)
Inequivalent atoms, fractional coordinates:
Ta  0.0000  0.0000  0.0000 x1  12 Ag 3.31
Cr  0.5000  0.5000  0.5000 x1  6 Ag 2.34
Ag  0.0000  0.5000  0.5000 x3  2 Cr 2.34

Output
Its magnetic moment is 0.00 μB per formula unit.

=====

In terms of stability, x leads; the second structure lies 0.346 eV/atom higher.